[1]
DFT (GGA-PBE) results for an optimized crystal structure of YIn6Cu6.

Structure (POSCAR):
```
YIn6Cu6
1.0
7.087 0.013 0.059
-1.049 7.009 -0.059
-1.118 -5.146 4.744
In Cu Y
6 6 1
Direct
0.658 0.658 0.000 In
0.818 0.318 0.500 In
0.342 0.342 0.000 In
0.662 0.000 0.662 In
0.338 0.000 0.338 In
0.182 0.682 0.500 In
0.237 0.500 0.737 Cu
0.000 0.000 0.500 Cu
0.763 0.500 0.263 Cu
0.500 0.000 0.000 Cu
0.500 0.500 0.500 Cu
0.000 0.500 0.000 Cu
0.000 0.000 0.000 Y
```

Calculated values
Symmetry: Immm (71)
Mass density, Mg/m³: 8.21
Spin magnetization, μB/f.u.: 0.000
ΔH_f (0 K), meV per atom: -135.5
Total energy, eV per cell: -49.233

---

[2]
DFT (GGA-PBE) results for an optimized crystal structure of YIn4Cu.

Structure (POSCAR):
```
YIn4Cu
1.0
0.000 4.230 4.230
4.230 0.000 4.230
4.230 4.230 0.000
In Cu Y
4 1 1
Direct
0.876 0.375 0.375 In
0.375 0.375 0.375 In
0.375 0.375 0.876 In
0.375 0.876 0.375 In
0.000 0.000 0.000 Cu
0.750 0.750 0.750 Y
```

Calculated values
Symmetry: F-43m (216)
Mass density, Mg/m³: 6.71
Spin magnetization, μB/f.u.: 0.000
ΔH_f (0 K), meV per atom: 145.6
Total energy, eV per cell: -20.640

---

[3]
DFT (GGA-PBE) results for an optimized crystal structure of Y2In8Cu.

Structure (POSCAR):
```
Y2In8Cu
1.0
-2.813 -3.458 -1.432
3.507 -3.061 0.501
-3.408 -2.014 11.562
In Cu Y
8 1 2
Direct
0.500 0.000 0.875 In
0.500 0.500 0.308 In
0.500 0.500 0.692 In
0.000 0.500 0.125 In
0.500 0.000 0.125 In
0.500 0.000 0.500 In
0.000 0.500 0.875 In
0.000 0.500 0.500 In
0.000 0.000 0.000 Cu
0.000 0.000 0.309 Y
0.000 0.000 0.691 Y
```

Calculated values
Symmetry: P4/mmm (123)
Mass density, Mg/m³: 7.19
Spin magnetization, μB/f.u.: 0.000
ΔH_f (0 K), meV per atom: -291.2
Total energy, eV per cell: -42.135

---

[4]
DFT (GGA-PBE) results for an optimized crystal structure of Y3InCu.

Structure (POSCAR):
```
Y3InCu
1.0
5.289 0.000 0.000
0.000 5.289 0.000
0.000 0.000 5.289
Y In Cu
3 1 1
Direct
0.500 0.000 0.000 Y
0.000 0.000 0.500 Y
0.000 0.500 0.000 Y
0.500 0.500 0.500 In
0.000 0.000 0.000 Cu
```

Calculated values
Symmetry: Pm-3m (221)
Mass density, Mg/m³: 4.99
Energy above the lowest structure with this stoichiometry, meV/atom: 0.0
Spin magnetization, μB/f.u.: 0.000
ΔH_f (0 K), meV per atom: -33.3
Total energy, eV per cell: -26.394

---

[5]
DFT (GGA-PBE) results for an optimized crystal structure of Y2In5Cu3.

Structure (POSCAR):
```
Y2In5Cu3
1.0
-2.572 -2.222 -2.866
2.158 -6.302 2.949
-8.670 1.678 9.929
Cu Y In
6 4 10
Direct
0.391 0.022 0.783 Cu
0.609 0.522 0.217 Cu
0.045 0.981 0.090 Cu
0.773 0.713 0.547 Cu
0.955 0.481 0.910 Cu
0.227 0.213 0.453 Cu
0.522 0.263 0.043 Y
0.826 0.217 0.651 Y
0.174 0.717 0.349 Y
0.478 0.763 0.957 Y
0.121 0.248 0.243 In
0.597 0.899 0.194 In
0.291 0.510 0.583 In
0.948 0.093 0.896 In
0.403 0.399 0.806 In
0.709 0.010 0.417 In
0.052 0.593 0.104 In
0.706 0.420 0.412 In
0.879 0.748 0.757 In
0.294 0.920 0.588 In
```

Calculated values
Symmetry: Cmc2_1 (36)
Mass density, Mg/m³: 7.38
Spin magnetization, μB/f.u.: 0.000
ΔH_f (0 K), meV per atom: -293.5
Total energy, eV per cell: -83.688

---

[6]
DFT (GGA-PBE) results for an optimized crystal structure of Y5InCu4.

Structure (POSCAR):
```
Y5InCu4
1.0
-1.823 -0.263 -2.962
0.521 -3.449 -0.015
-15.365 -2.362 9.666
Y In Cu
5 1 4
Direct
0.500 0.500 0.119 Y
0.500 0.500 0.309 Y
0.500 0.500 0.881 Y
0.500 0.500 0.691 Y
0.500 0.500 0.500 Y
0.000 0.000 0.000 In
0.000 0.000 0.595 Cu
0.000 0.000 0.786 Cu
0.000 0.000 0.405 Cu
0.000 0.000 0.214 Cu
```

Calculated values
Symmetry: P4/mmm (123)
Mass density, Mg/m³: 6.07
Spin magnetization, μB/f.u.: 0.000
ΔH_f (0 K), meV per atom: -290.8
Total energy, eV per cell: -54.351